Crystalline Th11In9Hg4 at its relaxed geometry, computed with PBE.

Output
**Formation enthalpy at 0 K**: -0.26 eV per atom
**Space group**: Cmmm
**Total energy**: -4.7337 eV/atom

Geometry as POSCAR:
```
Th11In9Hg4
1.0
6.976 -10.447 0.000
6.976 10.447 0.000
0.000 0.000 4.664
Th In Hg
11 9 4
direct
0.000 0.000 0.000
0.073 0.412 0.000
0.169 0.831 0.000
0.279 0.279 0.000
0.356 0.644 0.000
0.412 0.073 0.000
0.588 0.927 0.000
0.644 0.356 0.000
0.721 0.721 0.000
0.831 0.169 0.000
0.927 0.588 0.000
0.050 0.206 0.500
0.142 0.629 0.500
0.206 0.050 0.500
0.371 0.858 0.500
0.500 0.500 0.500
0.629 0.142 0.500
0.794 0.950 0.500
0.858 0.371 0.500
0.950 0.794 0.500
0.254 0.449 0.500
0.449 0.254 0.500
0.551 0.746 0.500
0.746 0.551 0.500
```

***

Crystalline LaTeOs4 at its relaxed geometry, computed with PBE.

Output
**Space group**: F-43m
**Total energy**: -8.3651 eV/atom

Geometry as POSCAR:
```
LaTeOs4
1.0
0.000 3.830 3.830
3.830 0.000 3.830
3.830 3.830 0.000
La Te Os
1 1 4
direct
0.000 0.000 0.000
0.250 0.250 0.250
0.127 0.624 0.624
0.624 0.127 0.624
0.624 0.624 0.127
0.624 0.624 0.624
```

***

Crystalline Tm5Ir2O12 at its relaxed geometry, computed with PBE.

Output
**Space group**: C2/m
**Total energy**: -7.8910 eV/atom

Geometry as POSCAR:
```
Tm5Ir2O12
1.0
6.165 -2.873 0.000
6.165 2.873 0.000
-2.160 0.000 6.945
Tm Ir O
5 2 12
direct
0.000 0.000 0.000
0.299 0.299 0.139
0.309 0.309 0.671
0.691 0.691 0.329
0.701 0.701 0.861
0.238 0.762 0.500
0.762 0.238 0.500
0.001 0.001 0.302
0.092 0.570 0.412
0.099 0.597 0.928
0.403 0.901 0.072
0.430 0.908 0.588
0.500 0.500 0.311
0.500 0.500 0.689
0.570 0.092 0.412
0.597 0.099 0.928
0.901 0.403 0.072
0.908 0.430 0.588
0.999 0.999 0.698
```

***

Crystalline Ti2CdHgSe at its relaxed geometry, computed with PBE.

Output
**Space group**: P4/mmm
**Total energy**: -3.1103 eV/atom

Geometry as POSCAR:
```
Ti2CdHgSe
1.0
5.285 0.000 0.000
0.000 5.285 0.000
0.000 0.000 5.095
Ti Cd Hg Se
2 1 1 1
direct
0.000 0.500 0.000
0.500 0.000 0.000
0.000 0.000 0.000
0.500 0.500 0.500
0.000 0.000 0.500
```